LaY3Pd: relaxed, PBEsol.

extended XYZ file:
```
5
Lattice="5.376 0.000 0.000 0.000 5.376 0.000 0.000 0.000 5.376" Properties=species:S:1:pos:R:3 pbc="T T T"
La 0.000 0.000 0.000
Y 0.000 0.000 2.688
Y 0.000 2.688 0.000
Y 2.688 0.000 0.000
Pd 2.688 2.688 2.688
```

Symmetry ... Pm-3m (221)
D(E_F) ... 3.1 states/eV/f.u.
Formation energy from the elements ... 0.965 eV/atom